DFT (PBE-GGA) results for a relaxed structure of Li5Tb2Tl4.

Computed properties:
Crystal system: orthorhombic
Electronic total energy in eV/cell: -118.647
ΔH_f (0 K) in eV/f.u.: -1.367
DOS(E_F) in states/eV per cell: 24.2

```
data_Li5Tb2Tl4
_cell_length_a 5.4208
_cell_length_b 10.9916
_cell_length_c 17.5178
_cell_angle_alpha 90.00
_cell_angle_beta 90.00
_cell_angle_gamma 90.00
_space_group_name_H-M_alt 'F m m m'
_space_group_IT_number 69
_space_group_name_Hall '-F 2 2'
loop_
_atom_site_label
_atom_site_fract_x
_atom_site_fract_y
_atom_site_fract_z
Li1 0.0000 0.0000 0.0000
Li2 0.2500 0.2500 0.0000
Li3 0.2500 0.2500 0.2500
Tb1 0.0000 0.0000 0.3267
Tl1 0.0000 0.1528 0.1298
```



DFT (PBE-GGA) results for a relaxed structure of V3GeH.

Computed properties:
Crystal system: monoclinic
Electronic total energy in eV/cell: -142.495
DOS(E_F) in states/eV per cell: 11.9

```
data_V3GeH
_cell_length_a 12.7651
_cell_length_b 2.6510
_cell_length_c 7.0452
_cell_angle_alpha 90.00
_cell_angle_beta 91.84
_cell_angle_gamma 90.00
_space_group_name_H-M_alt 'C 1 2/m 1'
_space_group_IT_number 12
loop_
_space_group_symop_operation_xyz
'x,y,z'
'-x,-y,-z'
'-x,y,-z'
'x,-y,z'
'x+1/2,y+1/2,z'
'-x+1/2,-y+1/2,-z'
'-x+1/2,y+1/2,-z'
'x+1/2,-y+1/2,z'
loop_
_atom_site_label
_atom_site_fract_x
_atom_site_fract_y
_atom_site_fract_z
V1 0.0299 0.0000 0.2034
V2 0.1065 0.0000 0.5526
V3 0.1623 0.5000 0.9107
Ge1 0.2016 0.5000 0.2830
H1 0.0775 0.0000 0.9660
```



DFT (PBE-GGA) results for a relaxed structure of Pm2Tm12Sc5.

Computed properties:
Crystal system: monoclinic
Electronic total energy in eV/cell: -184.117
ΔH_f (0 K) in eV/f.u.: 2.758
DOS(E_F) in states/eV per cell: 63.3

```
data_Pm2Tm12Sc5
_cell_length_a 15.9460
_cell_length_b 8.5864
_cell_length_c 8.2438
_cell_angle_alpha 90.00
_cell_angle_beta 91.53
_cell_angle_gamma 90.00
_space_group_name_H-M_alt 'C 1 2/m 1'
_space_group_IT_number 12
loop_
_space_group_symop_operation_xyz
'x,y,z'
'-x,-y,-z'
'-x,y,-z'
'x,-y,z'
'x+1/2,y+1/2,z'
'-x+1/2,-y+1/2,-z'
'-x+1/2,y+1/2,-z'
'x+1/2,-y+1/2,z'
loop_
_atom_site_label
_atom_site_fract_x
_atom_site_fract_y
_atom_site_fract_z
Pm1 0.0000 0.2125 0.0000
Tm1 0.0546 0.5000 0.2777
Tm2 0.1101 0.2937 0.6112
Tm3 0.1662 0.0000 0.8705
Tm4 0.1892 0.2046 0.2233
Sc1 0.0000 0.0000 0.5000
Sc2 0.1480 0.5000 0.9430
Sc3 0.2446 0.0000 0.5485
```



DFT (PBE-GGA) results for a relaxed structure of ScMo3P.

Computed properties:
Crystal system: cubic
Electronic total energy in eV/cell: -33.386
Relative energy among the computed polymorphs in meV per atom: 1931
ΔH_f (0 K) in eV/f.u.: 10.849
DOS(E_F) in states/eV per cell: 6.2

```
data_ScMo3P
_cell_length_a 4.6256
_cell_length_b 4.6256
_cell_length_c 4.6256
_cell_angle_alpha 90.00
_cell_angle_beta 90.00
_cell_angle_gamma 90.00
_space_group_name_H-M_alt 'P m -3 m'
_space_group_IT_number 221
_space_group_name_Hall '-P 4 2 3'
loop_
_atom_site_label
_atom_site_fract_x
_atom_site_fract_y
_atom_site_fract_z
Sc1 0.0000 0.0000 0.0000
Mo1 0.0000 0.0000 0.5000
P1 0.5000 0.5000 0.5000
```



DFT (PBE-GGA) results for a relaxed structure of CsCrFe2Cl8.

Computed properties:
Crystal system: trigonal
Electronic total energy in eV/cell: -163.624
E_form (uncorrected) in kJ/mol of formula units: -1193
DOS(E_F) in states/eV per cell: 35.6

```
data_CsCrFe2Cl8
_cell_length_a 6.2778
_cell_length_b 6.2778
_cell_length_c 30.3940
_cell_angle_alpha 90.00
_cell_angle_beta 90.00
_cell_angle_gamma 120.00
_space_group_name_H-M_alt 'R -3'
_space_group_IT_number 148
_space_group_name_Hall '-R 3'
loop_
_atom_site_label
_atom_site_fract_x
_atom_site_fract_y
_atom_site_fract_z
Cs1 0.0000 0.0000 0.0000
Cr1 0.0000 0.0000 0.5000
Fe1 0.0000 0.0000 0.2333
Cl1 0.0000 0.0000 0.3068
Cl2 0.0083 0.6976 0.5459
```



DFT (PBE-GGA) results for a relaxed structure of V2CrMoPt.

Computed properties:
Crystal system: tetragonal
Electronic total energy in eV/cell: -36.977
ΔH_f (0 K) in eV/f.u.: 7.755
DOS(E_F) in states/eV per cell: 8.4

```
data_V2CrMoPt
_cell_length_a 4.5657
_cell_length_b 4.5657
_cell_length_c 4.4684
_cell_angle_alpha 90.00
_cell_angle_beta 90.00
_cell_angle_gamma 90.00
_space_group_name_H-M_alt 'P 4/m m m'
_space_group_IT_number 123
_space_group_name_Hall '-P 4 2'
loop_
_atom_site_label
_atom_site_fract_x
_atom_site_fract_y
_atom_site_fract_z
V1 0.0000 0.5000 0.0000
Cr1 0.0000 0.0000 0.5000
Mo1 0.5000 0.5000 0.5000
Pt1 0.0000 0.0000 0.0000
```



DFT (PBE-GGA) results for a relaxed structure of LiAcHoSe3.

Computed properties:
Crystal system: monoclinic
Electronic total energy in eV/cell: -62.675
E_form (uncorrected) in kJ/mol of formula units: -992
DOS(E_F) in states/eV per cell: 5.3

```
data_LiAcHoSe3
_cell_length_a 8.6195
_cell_length_b 4.1283
_cell_length_c 9.0643
_cell_angle_alpha 90.00
_cell_angle_beta 104.56
_cell_angle_gamma 90.00
_space_group_name_H-M_alt 'P 1 21/m 1'
_space_group_IT_number 11
loop_
_space_group_symop_operation_xyz
'x,y,z'
'-x,-y,-z'
'-x,y+1/2,-z'
'x,-y+1/2,z'
loop_
_atom_site_label
_atom_site_fract_x
_atom_site_fract_y
_atom_site_fract_z
Li1 0.0885 0.2500 0.0880
Ac1 0.1928 0.2500 0.7303
Ho1 0.3338 0.7500 0.3448
Se1 0.1029 0.2500 0.3676
Se2 0.2177 0.7500 0.0113
Se3 0.4438 0.7500 0.6744
```



DFT (PBE-GGA) results for a relaxed structure of Pm8Sn6Bi.

Computed properties:
Crystal system: trigonal
Electronic total energy in eV/cell: -225.599
ΔH_f (0 K) in eV/f.u.: -9.297
DOS(E_F) in states/eV per cell: 44.4

```
data_Pm8Sn6Bi
_cell_length_a 9.6378
_cell_length_b 9.6378
_cell_length_c 18.5050
_cell_angle_alpha 90.00
_cell_angle_beta 90.00
_cell_angle_gamma 120.00
_space_group_name_H-M_alt 'R -3'
_space_group_IT_number 148
_space_group_name_Hall '-R 3'
loop_
_atom_site_label
_atom_site_fract_x
_atom_site_fract_y
_atom_site_fract_z
Pm1 0.0000 0.0000 0.1755
Pm2 0.0143 0.7421 0.5969
Sn1 0.0029 0.3921 0.5679
Bi1 0.0000 0.0000 0.5000
```



DFT (PBE-GGA) results for a relaxed structure of SrTiRu2.

Computed properties:
Crystal system: tetragonal
Electronic total energy in eV/cell: -104.369
Relative energy among the computed polymorphs in meV per atom: 196
ΔH_f (0 K) in eV/f.u.: 2.036
DOS(E_F) in states/eV per cell: 18.1

```
data_SrTiRu2
_cell_length_a 4.9663
_cell_length_b 4.9663
_cell_length_c 16.4474
_cell_angle_alpha 90.00
_cell_angle_beta 90.00
_cell_angle_gamma 90.00
_space_group_name_H-M_alt 'I -4 2 d'
_space_group_IT_number 122
_space_group_name_Hall 'I -4 2bw'
loop_
_atom_site_label
_atom_site_fract_x
_atom_site_fract_y
_atom_site_fract_z
Sr1 0.0000 0.0000 0.0000
Ti1 0.0000 0.0000 0.5000
Ru1 0.0110 0.2500 0.6250
```



DFT (PBE-GGA) results for a relaxed structure of Li2TlGeSe4.

Computed properties:
Crystal system: orthorhombic
Electronic total energy in eV/cell: -119.904
E_form (uncorrected) in kJ/mol of formula units: -504
DOS(E_F) in states/eV per cell: 9.9

```
data_Li2TlGeSe4
_cell_length_a 8.8471
_cell_length_b 9.0670
_cell_length_c 10.6627
_cell_angle_alpha 90.00
_cell_angle_beta 90.00
_cell_angle_gamma 90.00
_space_group_name_H-M_alt 'F m m 2'
_space_group_IT_number 42
_space_group_name_Hall 'F 2 -2'
loop_
_atom_site_label
_atom_site_fract_x
_atom_site_fract_y
_atom_site_fract_z
Li1 0.2500 0.2500 0.0000
Tl1 0.0000 0.0000 0.2388
Ge1 0.0000 0.0000 0.7552
Se1 0.0000 0.2072 0.6162
Se2 0.2153 0.0000 0.8909
```



DFT (PBE-GGA) results for a relaxed structure of KLaMo.

Computed properties:
Crystal system: tetragonal
Electronic total energy in eV/cell: -27.859
Relative energy among the computed polymorphs in meV per atom: 87
ΔH_f (0 K) in eV/f.u.: 2.927
DOS(E_F) in states/eV per cell: 5.8

```
data_KLaMo
_cell_length_a 3.4292
_cell_length_b 3.4292
_cell_length_c 17.0903
_cell_angle_alpha 90.00
_cell_angle_beta 90.00
_cell_angle_gamma 90.00
_space_group_name_H-M_alt 'I 4 m m'
_space_group_IT_number 107
_space_group_name_Hall 'I 4 -2'
loop_
_atom_site_label
_atom_site_fract_x
_atom_site_fract_y
_atom_site_fract_z
K1 0.0000 0.0000 0.0000
La1 0.0000 0.0000 0.7309
Mo1 0.0000 0.0000 0.3402
```



DFT (PBE-GGA) results for a relaxed structure of Sc2NiHPd.

Computed properties:
Crystal system: tetragonal
Electronic total energy in eV/cell: -30.271
Relative energy among the computed polymorphs in meV per atom: 0
DOS(E_F) in states/eV per cell: 2.4

```
data_Sc2NiHPd
_cell_length_a 4.5556
_cell_length_b 4.5556
_cell_length_c 3.4034
_cell_angle_alpha 90.00
_cell_angle_beta 90.00
_cell_angle_gamma 90.00
_space_group_name_H-M_alt 'P 4/m m m'
_space_group_IT_number 123
_space_group_name_Hall '-P 4 2'
loop_
_atom_site_label
_atom_site_fract_x
_atom_site_fract_y
_atom_site_fract_z
Sc1 0.0000 0.5000 0.0000
Ni1 0.0000 0.0000 0.5000
H1 0.0000 0.0000 0.0000
Pd1 0.5000 0.5000 0.5000
```



Q: Among the records above, which one has the highest DOS(E_F)?
A: Pm2Tm12Sc5